1.
Density functional theory data (PBE-GGA) for a relaxed La3MgCd crystal.

Lattice parameters (Å, degrees): 5.6089 6.8756 9.2530 84.40 89.99 65.96
Atoms (fractional coordinates):
La 0.0881 0.3231 0.3493
La 0.1489 0.2030 0.9621
La 0.3957 0.7074 0.3362
La 0.6043 0.2926 0.6638
La 0.8511 0.7970 0.0379
La 0.9119 0.6769 0.6507
Mg 0.2610 0.9797 0.6402
Mg 0.7390 0.0203 0.3598
Cd 0.4158 0.6677 0.8849
Cd 0.5842 0.3323 0.1151

Summary:
**Energy of formation**: -0.115 eV/atom
**DFT total energy**: -3.574 eV per atom

2.
Density functional theory data (PBE-GGA) for a relaxed TbPm2Co9 crystal.

Lattice parameters (Å, degrees): 8.7511 8.7511 8.7511 33.20 33.20 33.20
Atoms (fractional coordinates):
Tb 0.0000 0.0000 0.0000
Pm 0.1396 0.1396 0.1396
Pm 0.8604 0.8604 0.8604
Co 0.0807 0.5786 0.5786
Co 0.3337 0.3337 0.3337
Co 0.4214 0.4214 0.9193
Co 0.4214 0.9193 0.4214
Co 0.5000 0.5000 0.5000
Co 0.5786 0.0807 0.5786
Co 0.5786 0.5786 0.0807
Co 0.6663 0.6663 0.6663
Co 0.9193 0.4214 0.4214

Summary:
**Energy of formation**: -0.100 eV/atom
**DFT total energy**: -6.607 eV per atom

3.
Density functional theory data (PBE-GGA) for a relaxed CaTa2Ti crystal.

Lattice parameters (Å, degrees): 6.8437 6.8437 6.8437 90.00 90.00 90.00
Atoms (fractional coordinates):
Ca 0.0000 0.0000 0.0000
Ca 0.0000 0.5000 0.5000
Ca 0.5000 0.0000 0.5000
Ca 0.5000 0.5000 0.0000
Ta 0.2500 0.2500 0.2500
Ta 0.2500 0.2500 0.7500
Ta 0.2500 0.7500 0.2500
Ta 0.2500 0.7500 0.7500
Ta 0.7500 0.2500 0.2500
Ta 0.7500 0.2500 0.7500
Ta 0.7500 0.7500 0.2500
Ta 0.7500 0.7500 0.7500
Ti 0.0000 0.0000 0.5000
Ti 0.0000 0.5000 0.0000
Ti 0.5000 0.0000 0.0000
Ti 0.5000 0.5000 0.5000

Summary:
**Energy of formation**: 0.815 eV/atom
**DFT total energy**: -7.585 eV per atom

4.
Density functional theory data (PBE-GGA) for a relaxed YGe3Os crystal.

Lattice parameters (Å, degrees): 4.8307 4.8307 4.8307 90.00 90.00 90.00
Atoms (fractional coordinates):
Y 0.0000 0.0000 0.0000
Ge 0.0000 0.5000 0.5000
Ge 0.5000 0.0000 0.5000
Ge 0.5000 0.5000 0.0000
Os 0.5000 0.5000 0.5000

Summary:
**Energy of formation**: 0.215 eV/atom
**DFT total energy**: -6.094 eV per atom

5.
Density functional theory data (PBE-GGA) for a relaxed MnIn2Br crystal.

Lattice parameters (Å, degrees): 3.3705 5.2757 5.6589 90.00 90.00 90.00
Atoms (fractional coordinates):
Mn 0.0000 0.0000 0.0000
In 0.0000 0.5000 0.5000
In 0.5000 0.5000 0.0000
Br 0.5000 0.0000 0.5000

Summary:
**Formation energy without anion corrections**: 176 meV per atom
**DFT total energy**: -3.904 eV per atom

6.
Density functional theory data (PBE-GGA) for a relaxed LaIn2Hg6 crystal.

Lattice parameters (Å, degrees): 8.9629 8.9629 3.3945 93.78 93.78 60.82
Atoms (fractional coordinates):
La 0.0000 0.0000 0.0000
In 0.3339 0.3339 0.0057
In 0.6661 0.6661 0.9943
Hg 0.0012 0.3367 0.5422
Hg 0.3360 0.6640 0.5000
Hg 0.3367 0.0012 0.5422
Hg 0.6633 0.9988 0.4578
Hg 0.6640 0.3360 0.5000
Hg 0.9988 0.6633 0.4578

Summary:
**Energy of formation**: -0.143 eV/atom
**DFT total energy**: -1.500 eV per atom

7.
Density functional theory data (PBE-GGA) for a relaxed SrLiBi crystal.

Lattice parameters (Å, degrees): 4.5743 4.5743 9.2699 90.00 90.00 90.00
Atoms (fractional coordinates):
Sr 0.0000 0.0000 0.0000
Sr 0.5000 0.5000 0.5000
Li 0.0000 0.0000 0.6701
Li 0.5000 0.5000 0.1701
Bi 0.0000 0.0000 0.3564
Bi 0.5000 0.5000 0.8564

Summary:
**Energy of formation**: -0.511 eV/atom
**DFT total energy**: -3.003 eV per atom

8.
Density functional theory data (PBE-GGA) for a relaxed TbNd2SmEr4 crystal.

Lattice parameters (Å, degrees): 9.5118 9.5118 9.5118 138.06 103.22 91.57
Atoms (fractional coordinates):
Tb 0.5000 0.0000 0.0000
Tb 0.5000 0.5000 0.5000
Nd 0.0000 0.0000 0.0000
Nd 0.0000 0.0000 0.5000
Nd 0.0000 0.5000 0.0000
Nd 0.5000 0.0000 0.5000
Sm 0.0000 0.5000 0.5000
Sm 0.5000 0.5000 0.0000
Er 0.2531 0.2503 0.0028
Er 0.2526 0.2531 0.5005
Er 0.2526 0.7497 0.5028
Er 0.2526 0.7521 0.9995
Er 0.7474 0.2479 0.0005
Er 0.7474 0.2503 0.4972
Er 0.7474 0.7469 0.4995
Er 0.7469 0.7497 0.9972

Summary:
**Energy of formation**: 0.422 eV/atom
**DFT total energy**: -4.220 eV per atom

9.
Density functional theory data (PBE-GGA) for a relaxed Te3Se crystal.

Lattice parameters (Å, degrees): 4.1171 9.2100 8.3010 90.00 90.00 90.00
Atoms (fractional coordinates):
Te 0.0000 0.0000 0.0000
Te 0.0000 0.5000 0.2607
Te 0.0000 0.5000 0.7393
Te 0.5000 0.0000 0.2607
Te 0.5000 0.0000 0.7393
Te 0.5000 0.5000 0.0000
Se 0.0000 0.0000 0.5000
Se 0.5000 0.5000 0.5000

Summary:
**Formation energy without anion corrections**: 180 meV per atom
**DFT total energy**: -3.047 eV per atom

10.
Density functional theory data (PBE-GGA) for a relaxed GePt2N crystal.

Lattice parameters (Å, degrees): 4.7983 4.7983 11.7544 90.00 90.00 90.00
Atoms (fractional coordinates):
Ge 0.0000 0.0000 0.0000
Ge 0.0000 0.5000 0.2500
Ge 0.5000 0.0000 0.7500
Ge 0.5000 0.5000 0.5000
Pt 0.1557 0.2500 0.6250
Pt 0.2500 0.6557 0.8750
Pt 0.2500 0.8443 0.3750
Pt 0.3443 0.2500 0.1250
Pt 0.6557 0.7500 0.1250
Pt 0.7500 0.1557 0.3750
Pt 0.7500 0.3443 0.8750
Pt 0.8443 0.7500 0.6250
N 0.0000 0.0000 0.5000
N 0.0000 0.5000 0.7500
N 0.5000 0.0000 0.2500
N 0.5000 0.5000 0.0000

Summary:
**Formation energy without anion corrections**: 256 meV per atom
**DFT total energy**: -6.000 eV per atom

11.
Density functional theory data (PBE-GGA) for a relaxed Ba6Na2HN crystal.

Lattice parameters (Å, degrees): 8.3731 8.3731 8.3626 119.87 119.87 90.16
Atoms (fractional coordinates):
Ba 0.2361 0.2361 0.9971
Ba 0.2372 0.7628 0.0000
Ba 0.2383 0.2383 0.4740
Ba 0.7617 0.7617 0.5260
Ba 0.7628 0.2372 0.0000
Ba 0.7639 0.7639 0.0029
Na 0.2501 0.7499 0.5000
Na 0.7499 0.2501 0.5000
H 0.5000 0.5000 0.0000
N 0.0000 0.0000 0.0000

Summary:
**DFT total energy**: -2.762 eV per atom

12.
Density functional theory data (PBE-GGA) for a relaxed AcTb6Dy crystal.

Lattice parameters (Å, degrees): 9.6120 7.0416 8.9247 90.00 103.17 90.00
Atoms (fractional coordinates):
Ac 0.0000 0.0000 0.0000
Ac 0.5000 0.5000 0.0000
Tb 0.1230 0.5000 0.9205
Tb 0.2225 0.2631 0.3015
Tb 0.2225 0.7369 0.3015
Tb 0.2775 0.2369 0.6985
Tb 0.2775 0.7631 0.6985
Tb 0.3770 0.0000 0.0795
Tb 0.6230 0.0000 0.9205
Tb 0.7225 0.2369 0.3015
Tb 0.7225 0.7631 0.3015
Tb 0.7775 0.2631 0.6985
Tb 0.7775 0.7369 0.6985
Tb 0.8770 0.5000 0.0795
Dy 0.0000 0.5000 0.5000
Dy 0.5000 0.0000 0.5000

Summary:
**Energy of formation**: 0.394 eV/atom
**DFT total energy**: -4.167 eV per atom

Q: DFT total energy of number 7 (SrLiBi)?
A: -3.003 eV per atom

Q: Which value of DFT total energy does entry 4 give?
A: -6.094 eV per atom

Q: Look up the DFT total energy of the fifth one.
A: -3.904 eV per atom

Q: The lowest DFT total energy belongs to which entry?
A: CaTa2Ti